(1)
# CaInCl2 (GGA-PBEsol, optimized geometry)
data_CaInCl2
_chemical_formula_sum 'Ca4 In4 Cl8'
_cell_length_a 7.3451
_cell_length_b 7.3451
_cell_length_c 7.3451
_cell_angle_alpha 90.00
_cell_angle_beta 90.00
_cell_angle_gamma 90.00
_space_group_name_H-M_alt 'F -4 3 m'
_space_group_IT_number 216
_space_group_name_Hall 'F -4 2 3'
loop_
_atom_site_label
_atom_site_fract_x
_atom_site_fract_y
_atom_site_fract_z
_atom_site_occupancy
Ca1 0.0000 0.0000 0.0000 1
In1 0.2500 0.2500 0.2500 1
Cl1 0.0000 0.0000 0.5000 1
Cl2 0.2500 0.2500 0.7500 1
# - crystal system = cubic
# - uncorrected formation energy (meV/atom) = -811
# - calculated total energy (eV per atom) = -3.0935
# - distance to the lowest polymorph of the same formula (meV/atom) = 330
# - calculated volume (Å³/cell) = 396.3
# - size of the total moment (Bohr magnetons per cell) = 0.0

***

(2)
# CaInCl2 (GGA-PBEsol, optimized geometry)
data_CaInCl2
_chemical_formula_sum 'Ca2 In2 Cl4'
_cell_length_a 4.1353
_cell_length_b 4.1353
_cell_length_c 11.6307
_cell_angle_alpha 90.00
_cell_angle_beta 90.00
_cell_angle_gamma 90.00
_space_group_name_H-M_alt 'I -4 m 2'
_space_group_IT_number 119
_space_group_name_Hall 'I -4 -2'
loop_
_atom_site_label
_atom_site_fract_x
_atom_site_fract_y
_atom_site_fract_z
_atom_site_occupancy
Ca1 0.0000 0.0000 0.0000 1
In1 0.0000 0.5000 0.7500 1
Cl1 0.0000 0.0000 0.5000 1
Cl2 0.0000 0.5000 0.2500 1
# - crystal system = tetragonal
# - uncorrected formation energy (meV/atom) = -1141
# - calculated total energy (eV per atom) = -3.4237
# - distance to the lowest polymorph of the same formula (meV/atom) = 0
# - calculated volume (Å³/cell) = 198.9
# - size of the total moment (Bohr magnetons per cell) = 1.0

***

(3)
# CaInCl3 (GGA-PBEsol, optimized geometry)
data_CaInCl3
_chemical_formula_sum 'Ca1 In1 Cl3'
_cell_length_a 5.3806
_cell_length_b 5.3806
_cell_length_c 5.3806
_cell_angle_alpha 90.00
_cell_angle_beta 90.00
_cell_angle_gamma 90.00
_space_group_name_H-M_alt 'P m -3 m'
_space_group_IT_number 221
_space_group_name_Hall '-P 4 2 3'
loop_
_atom_site_label
_atom_site_fract_x
_atom_site_fract_y
_atom_site_fract_z
_atom_site_occupancy
Ca1 0.0000 0.0000 0.0000 1
In1 0.5000 0.5000 0.5000 1
Cl1 0.0000 0.5000 0.5000 1
# - crystal system = cubic
# - uncorrected formation energy (meV/atom) = -951
# - calculated total energy (eV per atom) = -3.1790
# - calculated volume (Å³/cell) = 155.8
# - size of the total moment (Bohr magnetons per cell) = 0.0

***

(4)
# CaIn2NCl (GGA-PBEsol, optimized geometry)
data_CaIn2NCl
_chemical_formula_sum 'Ca1 In2 N1 Cl1'
_cell_length_a 5.4594
_cell_length_b 5.4594
_cell_length_c 5.1274
_cell_angle_alpha 90.00
_cell_angle_beta 90.00
_cell_angle_gamma 90.00
_space_group_name_H-M_alt 'P 4/m m m'
_space_group_IT_number 123
_space_group_name_Hall '-P 4 2'
loop_
_atom_site_label
_atom_site_fract_x
_atom_site_fract_y
_atom_site_fract_z
_atom_site_occupancy
Ca1 0.0000 0.0000 0.0000 1
In1 0.0000 0.5000 0.5000 1
N1 0.5000 0.5000 0.0000 1
Cl1 0.0000 0.0000 0.5000 1
# - crystal system = tetragonal
# - uncorrected formation energy (meV/atom) = 812
# - calculated total energy (eV per atom) = -2.9151
# - calculated volume (Å³/cell) = 152.8
# - size of the total moment (Bohr magnetons per cell) = 0.5

***

(5)
# CaInTcCl2 (GGA-PBEsol, optimized geometry)
data_CaInTcCl2
_chemical_formula_sum 'Ca1 In1 Tc1 Cl2'
_cell_length_a 4.7475
_cell_length_b 4.7475
_cell_length_c 5.3681
_cell_angle_alpha 90.00
_cell_angle_beta 90.00
_cell_angle_gamma 90.00
_space_group_name_H-M_alt 'P 4/m m m'
_space_group_IT_number 123
_space_group_name_Hall '-P 4 2'
loop_
_atom_site_label
_atom_site_fract_x
_atom_site_fract_y
_atom_site_fract_z
_atom_site_occupancy
Ca1 0.0000 0.0000 0.0000 1
In1 0.5000 0.5000 0.0000 1
Tc1 0.5000 0.5000 0.5000 1
Cl1 0.0000 0.5000 0.5000 1
# - crystal system = tetragonal
# - uncorrected formation energy (meV/atom) = -186
# - calculated total energy (eV per atom) = -4.2653
# - calculated volume (Å³/cell) = 121.0
# - size of the total moment (Bohr magnetons per cell) = 1.4

***

(6)
# CaIrCl2 (GGA-PBEsol, optimized geometry)
data_CaIrCl2
_chemical_formula_sum 'Ca3 Ir3 Cl6'
_cell_length_a 3.3719
_cell_length_b 3.3719
_cell_length_c 24.3927
_cell_angle_alpha 90.00
_cell_angle_beta 90.00
_cell_angle_gamma 120.00
_space_group_name_H-M_alt 'R -3 m'
_space_group_IT_number 166
_space_group_name_Hall '-R 3 2"'
loop_
_atom_site_label
_atom_site_fract_x
_atom_site_fract_y
_atom_site_fract_z
_atom_site_occupancy
Ca1 0.0000 0.0000 0.0000 1
Ir1 0.0000 0.0000 0.5000 1
Cl1 0.0000 0.0000 0.4067 1
# - crystal system = trigonal
# - uncorrected formation energy (meV/atom) = -425
# - calculated total energy (eV per atom) = -4.4176
# - calculated volume (Å³/cell) = 240.2
# - size of the total moment (Bohr magnetons per cell) = 0.0

***

(7)
# KCa2Cl (GGA-PBEsol, optimized geometry)
data_KCa2Cl
_chemical_formula_sum 'K4 Ca8 Cl4'
_cell_length_a 8.6949
_cell_length_b 8.6949
_cell_length_c 8.6949
_cell_angle_alpha 90.00
_cell_angle_beta 90.00
_cell_angle_gamma 90.00
_space_group_name_H-M_alt 'F -4 3 m'
_space_group_IT_number 216
_space_group_name_Hall 'F -4 2 3'
loop_
_atom_site_label
_atom_site_fract_x
_atom_site_fract_y
_atom_site_fract_z
_atom_site_occupancy
K1 0.0000 0.0000 0.0000 1
Ca1 0.0000 0.0000 0.5000 1
Ca2 0.2500 0.2500 0.7500 1
Cl1 0.2500 0.2500 0.2500 1
# - crystal system = cubic
# - uncorrected formation energy (meV/atom) = -212
# - calculated total energy (eV per atom) = -2.0641
# - distance to the lowest polymorph of the same formula (meV/atom) = 590
# - calculated volume (Å³/cell) = 657.3
# - size of the total moment (Bohr magnetons per cell) = 0.0

***

(8)
# KCa2Cl (GGA-PBEsol, optimized geometry)
data_KCa2Cl
_chemical_formula_sum 'K2 Ca4 Cl2'
_cell_length_a 3.7466
_cell_length_b 3.9294
_cell_length_c 20.2187
_cell_angle_alpha 90.00
_cell_angle_beta 90.00
_cell_angle_gamma 90.00
_space_group_name_H-M_alt 'A m m 2'
_space_group_IT_number 38
loop_
_space_group_symop_operation_xyz
'x,y,z'
'-x,-y,z'
'-x,y,z'
'x,-y,z'
'x,y+1/2,z+1/2'
'-x,-y+1/2,z+1/2'
'-x,y+1/2,z+1/2'
'x,-y+1/2,z+1/2'
loop_
_atom_site_label
_atom_site_fract_x
_atom_site_fract_y
_atom_site_fract_z
_atom_site_occupancy
K1 0.0000 0.0000 0.0000 1
Ca1 0.0000 0.0000 0.3082 1
Ca2 0.5000 0.0000 0.6727 1
Cl1 0.5000 0.0000 0.4158 1
# - crystal system = orthorhombic
# - uncorrected formation energy (meV/atom) = -802
# - calculated total energy (eV per atom) = -2.6542
# - distance to the lowest polymorph of the same formula (meV/atom) = 0
# - calculated volume (Å³/cell) = 297.7
# - size of the total moment (Bohr magnetons per cell) = 0.0

***

(9)
# KCa2Cl (GGA-PBEsol, optimized geometry)
data_KCa2Cl
_chemical_formula_sum 'K2 Ca4 Cl2'
_cell_length_a 3.8275
_cell_length_b 6.8726
_cell_length_c 11.5035
_cell_angle_alpha 90.00
_cell_angle_beta 90.00
_cell_angle_gamma 90.00
_space_group_name_H-M_alt 'C m m m'
_space_group_IT_number 65
_space_group_name_Hall '-C 2 2'
loop_
_atom_site_label
_atom_site_fract_x
_atom_site_fract_y
_atom_site_fract_z
_atom_site_occupancy
K1 0.0000 0.0000 0.0000 1
Ca1 0.0000 0.5000 0.3108 1
Cl1 0.0000 0.0000 0.5000 1
# - crystal system = orthorhombic
# - uncorrected formation energy (meV/atom) = -671
# - calculated total energy (eV per atom) = -2.5229
# - distance to the lowest polymorph of the same formula (meV/atom) = 131
# - calculated volume (Å³/cell) = 302.6
# - size of the total moment (Bohr magnetons per cell) = 0.0

***

(10)
# K2CaWCl (GGA-PBEsol, optimized geometry)
data_K2CaWCl
_chemical_formula_sum 'K2 Ca1 W1 Cl1'
_cell_length_a 5.9456
_cell_length_b 5.9456
_cell_length_c 4.5332
_cell_angle_alpha 90.00
_cell_angle_beta 90.00
_cell_angle_gamma 90.00
_space_group_name_H-M_alt 'P 4/m m m'
_space_group_IT_number 123
_space_group_name_Hall '-P 4 2'
loop_
_atom_site_label
_atom_site_fract_x
_atom_site_fract_y
_atom_site_fract_z
_atom_site_occupancy
K1 0.0000 0.5000 0.0000 1
Ca1 0.0000 0.0000 0.5000 1
W1 0.5000 0.5000 0.5000 1
Cl1 0.5000 0.5000 0.0000 1
# - crystal system = tetragonal
# - uncorrected formation energy (meV/atom) = 737
# - calculated total energy (eV per atom) = -3.3063
# - calculated volume (Å³/cell) = 160.3
# - size of the total moment (Bohr magnetons per cell) = 1.5

***

(11)
# CaLaCl4 (GGA-PBEsol, optimized geometry)
data_CaLaCl4
_chemical_formula_sum 'Ca4 La4 Cl16'
_cell_length_a 8.3444
_cell_length_b 8.3444
_cell_length_c 8.3444
_cell_angle_alpha 90.00
_cell_angle_beta 90.00
_cell_angle_gamma 90.00
_space_group_name_H-M_alt 'F -4 3 m'
_space_group_IT_number 216
_space_group_name_Hall 'F -4 2 3'
loop_
_atom_site_label
_atom_site_fract_x
_atom_site_fract_y
_atom_site_fract_z
_atom_site_occupancy
Ca1 0.0000 0.0000 0.0000 1
La1 0.2500 0.2500 0.7500 1
Cl1 0.1249 0.1249 0.3751 1
# - crystal system = cubic
# - uncorrected formation energy (meV/atom) = -838
# - calculated total energy (eV per atom) = -3.4232
# - calculated volume (Å³/cell) = 581.0
# - size of the total moment (Bohr magnetons per cell) = 3.7

***

(12)
# CaLaCl2 (GGA-PBEsol, optimized geometry)
data_CaLaCl2
_chemical_formula_sum 'Ca4 La4 Cl8'
_cell_length_a 7.0536
_cell_length_b 7.0536
_cell_length_c 7.0536
_cell_angle_alpha 90.00
_cell_angle_beta 90.00
_cell_angle_gamma 90.00
_space_group_name_H-M_alt 'F m -3 m'
_space_group_IT_number 225
_space_group_name_Hall '-F 4 2 3'
loop_
_atom_site_label
_atom_site_fract_x
_atom_site_fract_y
_atom_site_fract_z
_atom_site_occupancy
Ca1 0.0000 0.0000 0.0000 1
La1 0.0000 0.0000 0.5000 1
Cl1 0.2500 0.2500 0.2500 1
# - crystal system = cubic
# - uncorrected formation energy (meV/atom) = -1258
# - calculated total energy (eV per atom) = -4.1315
# - calculated volume (Å³/cell) = 350.9
# - size of the total moment (Bohr magnetons per cell) = 0.1